A | VASP calculation (PBE-GGA) on a relaxed PbBr2N2 crystal.

```
PbBr2N2
1.0
3.897 -2.244 0.000
3.897 2.244 0.000
-1.131 0.000 10.469
Pb Br N
1 2 2
direct
0.000 0.000 0.000
0.356 0.356 0.158
0.644 0.644 0.842
0.045 0.045 0.463
0.955 0.955 0.537
```

theoretical density: 3.6 g/cm³

=====

B | VASP calculation (PBE-GGA) on a relaxed PbBr2N2 crystal.

```
PbBr2N2
1.0
-2.346 2.346 4.660
2.346 -2.346 4.660
2.346 2.346 -4.660
Pb Br N
1 2 2
direct
0.000 0.000 0.000
0.306 0.306 0.000
0.694 0.694 0.000
0.250 0.750 0.500
0.750 0.250 0.500
```

theoretical density: 6.4 g/cm³

=====

What should be chosen as the least stable of them? Choose B.

=====

A | VASP calculation (PBE-GGA) on a relaxed PbBr2N crystal.

```
PbBr2N
1.0
0.000 4.778 4.778
4.778 0.000 4.778
4.778 4.778 0.000
Pb Br N
2 4 2
direct
0.125 0.125 0.125
0.875 0.875 0.875
0.000 0.500 0.500
0.500 0.000 0.500
0.500 0.500 0.000
0.500 0.500 0.500
0.375 0.375 0.375
0.625 0.625 0.625
```

theoretical density: 5.8 g/cm³

=====

B | VASP calculation (PBE-GGA) on a relaxed PbBr2N crystal.

```
PbBr2N
1.0
1.833 1.058 8.859
-1.833 1.058 8.859
0.000 -2.116 8.859
Pb Br N
1 2 1
direct
0.000 0.000 0.000
0.110 0.110 0.110
0.890 0.890 0.890
0.500 0.500 0.500
```

theoretical density: 6.1 g/cm³

=====

C | VASP calculation (PBE-GGA) on a relaxed PbBr2N crystal.

```
PbBr2N
1.0
0.000 3.741 3.741
3.741 0.000 3.741
3.741 3.741 0.000
Pb Br N
1 2 1
direct
0.000 0.000 0.000
0.250 0.250 0.250
0.750 0.750 0.750
0.500 0.500 0.500
```

theoretical density: 6.0 g/cm³

=====

D | VASP calculation (PBE-GGA) on a relaxed PbBr2N crystal.

```
PbBr2N
1.0
7.308 -2.288 0.000
7.308 2.288 0.000
-0.183 0.000 8.187
Pb Br N
2 4 2
direct
0.226 0.226 0.239
0.774 0.774 0.761
0.158 0.158 0.617
0.362 0.362 0.971
0.638 0.638 0.029
0.842 0.842 0.383
0.036 0.036 0.274
0.964 0.964 0.726
```

theoretical density: 4.6 g/cm³

=====

What should be chosen as the least stable of them? Choose B.

=====

A | VASP calculation (PBE-GGA) on a relaxed Pb2BrN crystal.

```
Pb2BrN
1.0
-3.707 3.707 3.998
3.707 -3.707 3.998
3.707 3.707 -3.998
Pb Br N
4 2 2
direct
0.028 0.125 0.403
0.375 0.972 0.097
0.722 0.625 0.597
0.875 0.278 0.903
0.250 0.750 0.500
0.500 0.500 0.000
0.000 0.000 0.000
0.750 0.250 0.500
```

theoretical density: 7.7 g/cm³

=====

B | VASP calculation (PBE-GGA) on a relaxed Pb2BrN crystal.

```
Pb2BrN
1.0
0.000 3.596 3.596
3.596 0.000 3.596
3.596 3.596 0.000
Pb Br N
2 1 1
direct
0.250 0.250 0.250
0.750 0.750 0.750
0.000 0.000 0.000
0.500 0.500 0.500
```

theoretical density: 9.1 g/cm³

=====

What should be chosen as the least stable of them? Choose B.

=====

A | VASP calculation (PBE-GGA) on a relaxed PbS2BrN crystal.

```
PbS2BrN
1.0
5.465 0.000 0.000
0.000 5.465 0.000
0.000 0.000 4.681
Pb S Br N
1 2 1 1
direct
0.000 0.000 0.000
0.000 0.500 0.000
0.500 0.000 0.000
0.500 0.500 0.500
0.000 0.000 0.500
```

theoretical density: 4.3 g/cm³

=====

B | VASP calculation (PBE-GGA) on a relaxed PbS2BrN crystal.

```
PbS2BrN
1.0
5.155 0.000 0.000
0.000 5.155 0.000
0.000 0.000 4.029
Pb S Br N
1 2 1 1
direct
0.000 0.000 0.000
0.000 0.500 0.500
0.500 0.000 0.500
0.500 0.500 0.500
0.500 0.500 0.000
```

theoretical density: 5.7 g/cm³

=====

What should be chosen as the least stable of them? Choose A.

=====

A | VASP calculation (PBE-GGA) on a relaxed PbSeBrN2 crystal.

```
PbSeBrN2
1.0
4.389 0.000 0.000
0.000 4.389 0.000
0.000 0.000 6.082
Pb Se Br N
1 1 1 2
direct
0.000 0.000 0.000
0.000 0.000 0.500
0.500 0.500 0.500
0.000 0.500 0.000
0.500 0.000 0.000
```

theoretical density: 5.6 g/cm³

=====

B | VASP calculation (PBE-GGA) on a relaxed PbSeBrN2 crystal.

```
PbSeBrN2
1.0
4.374 0.000 0.000
0.000 4.374 0.000
0.000 0.000 5.311
Pb Se Br N
1 1 1 2
direct
0.000 0.000 0.000
0.500 0.500 0.000
0.500 0.500 0.500
0.000 0.500 0.500
0.500 0.000 0.500
```

theoretical density: 6.4 g/cm³

=====

What should be chosen as the least stable of them? Choose B.

=====

A | VASP calculation (PBE-GGA) on a relaxed PdBrN crystal.

```
PdBrN
1.0
2.991 -1.706 0.000
2.991 1.706 0.000
-1.955 0.000 5.321
Pd Br N
1 1 1
direct
0.000 0.000 0.000
0.166 0.166 0.497
0.292 0.292 0.879
```

theoretical density: 6.1 g/cm³

=====

B | VASP calculation (PBE-GGA) on a relaxed PdBrN crystal.

```
PdBrN
1.0
3.300 0.000 0.000
-0.034 3.960 0.000
-1.622 -1.195 4.663
Pd Br N
1 1 1
direct
0.000 0.000 0.000
0.206 0.689 0.407
0.394 0.045 0.783
```

theoretical density: 5.5 g/cm³

=====

C | VASP calculation (PBE-GGA) on a relaxed PdBrN crystal.

```
PdBrN
1.0
3.680 0.000 0.000
0.000 4.664 0.000
-1.338 0.000 4.445
Pd Br N
1 1 1
direct
0.000 0.000 0.000
0.090 0.500 0.247
0.484 0.000 0.955
```

theoretical density: 4.4 g/cm³

=====

D | VASP calculation (PBE-GGA) on a relaxed PdBrN crystal.

```
PdBrN
1.0
3.253 0.000 0.000
0.000 5.558 0.000
-0.040 0.000 4.036
Pd Br N
1 1 1
direct
0.000 0.000 0.000
0.500 0.646 0.000
0.500 0.188 0.000
```

theoretical density: 4.6 g/cm³

=====

What should be chosen as the least stable of them? Choose B.